Density functional theory data (GGA-PBE) for CdNiP after structural relaxation.

Structure (POSCAR):
```
CdNiP
1.0
4.268 0.000 0.000
2.134 3.696 0.000
2.134 1.232 3.485
P Cd Ni
1 1 1
Cartesian
4.268 2.464 1.742
2.134 1.232 0.871
0.000 0.000 0.000
```

Total energy (eV per cell): -10.4
Symmetry: F-43m (216)